# K2ZrW (PBE, optimized geometry)
data_K2ZrW
_chemical_formula_sum 'K2 Zr1 W1'
_space_group_name_H-M_alt 'P m m m'
_space_group_IT_number 47
_space_group_name_Hall '-P 2 2'
_cell_length_a 3.257
_cell_length_b 4.833
_cell_length_c 6.636
_cell_angle_alpha 90.00
_cell_angle_beta 90.00
_cell_angle_gamma 90.00
loop_
_atom_site_label
_atom_site_fract_x
_atom_site_fract_y
_atom_site_fract_z
_atom_site_occupancy
K1 0.000 0.000 0.000 1
K2 0.500 0.500 0.000 1
Zr1 0.000 0.500 0.500 1
W1 0.500 0.000 0.500 1
# density	5617	kg/m³
# raw total energy	-4.623	eV per atom
# total moment	0.001	μB per formula unit
# E above lowest polymorph	10.626	kcal/mol of atoms

# BaZn4Ni (PBE, optimized geometry)
data_BaZn4Ni
_chemical_formula_sum 'Ba1 Zn4 Ni1'
_space_group_name_H-M_alt 'P 1 2/m 1'
_space_group_IT_number 10
_space_group_name_Hall '-P 2y'
_cell_length_a 4.664
_cell_length_b 4.664
_cell_length_c 6.912
_cell_angle_alpha 90.00
_cell_angle_beta 90.05
_cell_angle_gamma 90.00
loop_
_atom_site_label
_atom_site_fract_x
_atom_site_fract_y
_atom_site_fract_z
_atom_site_occupancy
Ba1 0.000 0.000 0.000 1
Zn1 0.000 0.500 0.500 1
Zn2 0.500 0.000 0.500 1
Zn3 0.500 0.500 0.176 1
Ni1 0.500 0.500 0.500 1
# density	5055	kg/m³
# raw total energy	-2.171	eV per atom
# total moment	0.000	μB per formula unit
# E above lowest polymorph	2.275	kcal/mol of atoms

# K3In9Au2 (PBE, optimized geometry)
data_K3In9Au2
_chemical_formula_sum 'K6 In18 Au4'
_space_group_name_H-M_alt 'I m m m'
_space_group_IT_number 71
_space_group_name_Hall '-I 2 2'
_cell_length_a 4.883
_cell_length_b 11.624
_cell_length_c 14.148
_cell_angle_alpha 90.00
_cell_angle_beta 90.00
_cell_angle_gamma 90.00
loop_
_atom_site_label
_atom_site_fract_x
_atom_site_fract_y
_atom_site_fract_z
_atom_site_occupancy
K1 0.000 0.000 0.000 1
K2 0.000 0.000 0.318 1
In1 0.000 0.281 0.119 1
In2 0.000 0.364 0.325 1
In3 0.000 0.500 0.000 1
Au1 0.000 0.237 0.500 1
# density	6388	kg/m³
# raw total energy	-2.626	eV per atom
# total moment	0.000	μB per formula unit

# Ag2Ge2Pd (PBE, optimized geometry)
data_Ag2Ge2Pd
_chemical_formula_sum 'Ag4 Ge4 Pd2'
_space_group_name_H-M_alt 'I 4/m m m'
_space_group_IT_number 139
_space_group_name_Hall '-I 4 2'
_cell_length_a 3.653
_cell_length_b 3.653
_cell_length_c 14.061
_cell_angle_alpha 90.00
_cell_angle_beta 90.00
_cell_angle_gamma 90.00
loop_
_atom_site_label
_atom_site_fract_x
_atom_site_fract_y
_atom_site_fract_z
_atom_site_occupancy
Ag1 0.000 0.000 0.097 1
Ge1 0.000 0.500 0.250 1
Pd1 0.000 0.000 0.500 1
# density	8272	kg/m³
# raw total energy	-3.758	eV per atom
# total moment	0.000	μB per formula unit
# E above lowest polymorph	6.455	kcal/mol of atoms

# HgTePt2 (PBE, optimized geometry)
data_HgTePt2
_chemical_formula_sum 'Hg2 Te2 Pt4'
_space_group_name_H-M_alt 'I m m 2'
_space_group_IT_number 44
_space_group_name_Hall 'I 2 -2'
_cell_length_a 3.203
_cell_length_b 4.438
_cell_length_c 11.684
_cell_angle_alpha 90.00
_cell_angle_beta 90.00
_cell_angle_gamma 90.00
loop_
_atom_site_label
_atom_site_fract_x
_atom_site_fract_y
_atom_site_fract_z
_atom_site_occupancy
Hg1 0.000 0.000 0.000 1
Te1 0.000 0.500 0.239 1
Pt1 0.000 0.000 0.551 1
Pt2 0.000 0.500 0.842 1
# density	14366	kg/m³
# raw total energy	-3.838	eV per atom
# E_form (uncorrected)	0.99	kcal/mol of atoms
# total moment	0.000	μB per formula unit
# E above lowest polymorph	2.108	kcal/mol of atoms

# EuMg2Hg (PBE, optimized geometry)
data_EuMg2Hg
_chemical_formula_sum 'Eu1 Mg2 Hg1'
_space_group_name_H-M_alt 'P 4/m m m'
_space_group_IT_number 123
_space_group_name_Hall '-P 4 2'
_cell_length_a 4.662
_cell_length_b 4.662
_cell_length_c 4.948
_cell_angle_alpha 90.00
_cell_angle_beta 90.00
_cell_angle_gamma 90.00
loop_
_atom_site_label
_atom_site_fract_x
_atom_site_fract_y
_atom_site_fract_z
_atom_site_occupancy
Eu1 0.000 0.000 0.000 1
Mg1 0.000 0.500 0.500 1
Hg1 0.500 0.500 0.000 1
# density	6195	kg/m³
# raw total energy	-3.629	eV per atom
# total moment	7.549	μB per formula unit
# E above lowest polymorph	0.000	kcal/mol of atoms